# 1
# MgNbAl4

An optimized crystal structure of MgNbAl4 (GGA-PBE, Alexandria).

Cell lengths 7.411, 7.411, 7.411 Å; angles 90.00, 90.00, 90.00 degrees
Space group F-43m (No. 216)
Symmetry-distinct sites (fractional):
1 Mg 0.000 0.000 0.000 x4
2 Nb 0.250 0.250 0.750 x4
3 Al 0.125 0.125 0.375 x16

Calculated values
Final energy: -27.4 eV per formula unit
Formation enthalpy at 0 K: -12 kJ/mol of atoms

# 2
# Sc2Cd2Sn

An optimized crystal structure of Sc2Cd2Sn (GGA-PBE, Alexandria).

Cell lengths 7.806, 7.806, 3.985 Å; angles 90.00, 90.00, 90.00 degrees
Space group P4/mbm (No. 127)
Symmetry-distinct sites (fractional):
1 Sc 0.155 0.345 0.000 x4
2 Cd 0.145 0.645 0.500 x4
3 Sn 0.000 0.000 0.000 x2

Calculated values
Final energy: -19.2 eV per formula unit
Formation enthalpy at 0 K: -14 kJ/mol of atoms

# 3
# NaMoPd2

An optimized crystal structure of NaMoPd2 (GGA-PBE, Alexandria).

Cell lengths 7.227, 7.227, 5.757 Å; angles 90.00, 90.00, 90.00 degrees
Space group I-42d (No. 122)
Symmetry-distinct sites (fractional):
1 Na 0.000 0.000 0.000 x4
2 Mo 0.000 0.000 0.500 x4
3 Pd 0.227 0.250 0.625 x8

Calculated values
Final energy: -19.8 eV per formula unit
Formation enthalpy at 0 K: 65 kJ/mol of atoms
Polymorph energy (0 for the lowest one): 605 meV/atom

# 4
# TcOsC3

An optimized crystal structure of TcOsC3 (GGA-PBE, Alexandria).

Cell lengths 3.959, 3.959, 3.959 Å; angles 90.00, 90.00, 90.00 degrees
Space group Pm-3m (No. 221)
Symmetry-distinct sites (fractional):
1 Tc 0.000 0.000 0.000 x1
2 Os 0.500 0.500 0.500 x1
3 C 0.000 0.000 0.500 x3

Calculated values
Final energy: -36.2 eV per formula unit
Formation enthalpy at 0 K: 251 kJ/mol of atoms
Polymorph energy (0 for the lowest one): 409 meV/atom

# 5
# As2SeCl

An optimized crystal structure of As2SeCl (GGA-PBE, Alexandria).

Cell lengths 4.789, 4.789, 6.864 Å; angles 90.00, 90.00, 90.00 degrees
Space group I-4m2 (No. 119)
Symmetry-distinct sites (fractional):
1 As 0.000 0.000 0.000 x2
2 As 0.000 0.500 0.250 x2
3 Se 0.000 0.000 0.500 x2
4 Cl 0.000 0.500 0.750 x2

Calculated values
Final energy: -12.9 eV per formula unit
Uncorrected formation energy: 0.438 eV/atom
Polymorph energy (0 for the lowest one): 570 meV/atom

# 6
# Ac2LaN

An optimized crystal structure of Ac2LaN (GGA-PBE, Alexandria).

Cell lengths 3.7842, 3.7842, 31.4130 Å; angles 90.00, 90.00, 120.00 degrees
Space group R-3m (No. 166, hexagonal axes)
Symmetry-distinct sites (fractional):
1 Ac 0.0000 0.0000 0.1187 x6
2 La 0.0000 0.0000 0.0000 x3
3 N 0.0000 0.0000 0.5000 x3

Calculated values
Final energy: -23.0 eV per formula unit
Uncorrected formation energy: -0.389 eV/atom

# 7
# NiHgBr2

An optimized crystal structure of NiHgBr2 (GGA-PBE, Alexandria).

Cell lengths 7.151, 7.151, 7.151 Å; angles 90.00, 90.00, 90.00 degrees
Space group F-43m (No. 216)
Symmetry-distinct sites (fractional):
1 Ni 0.000 0.000 0.000 x4
2 Hg 0.250 0.250 0.750 x4
3 Br 0.000 0.000 0.500 x4
4 Br 0.250 0.250 0.250 x4

Calculated values
Final energy: -7.0 eV per formula unit
Uncorrected formation energy: 0.601 eV/atom
Polymorph energy (0 for the lowest one): 839 meV/atom

# 8
# K2LaMn

An optimized crystal structure of K2LaMn (GGA-PBE, Alexandria).

Cell lengths 5.416, 5.424, 11.661 Å; angles 90.00, 90.00, 90.00 degrees
Space group Cmm2 (No. 35)
Symmetry-distinct sites (fractional):
1 K 0.000 0.000 0.000 x2
2 K 0.000 0.500 0.349 x2
3 La 0.000 0.500 0.701 x2
4 Mn 0.000 0.000 0.563 x2

Calculated values
Final energy: -14.5 eV per formula unit
Formation enthalpy at 0 K: 42 kJ/mol of atoms
Polymorph energy (0 for the lowest one): 0 meV/atom

# 9
# TaTeSe3

An optimized crystal structure of TaTeSe3 (GGA-PBE, Alexandria).

Cell lengths 5.234, 5.234, 5.234 Å; angles 90.00, 90.00, 90.00 degrees
Space group Pm-3m (No. 221)
Symmetry-distinct sites (fractional):
1 Ta 0.000 0.000 0.000 x1
2 Te 0.500 0.500 0.500 x1
3 Se 0.000 0.500 0.500 x3

Calculated values
Final energy: -19.3 eV per formula unit
Uncorrected formation energy: 1.236 eV/atom
Polymorph energy (0 for the lowest one): 1534 meV/atom

# 10
# Tl2SbW

An optimized crystal structure of Tl2SbW (GGA-PBE, Alexandria).

Cell lengths 3.624, 5.168, 10.846 Å; angles 90.00, 90.00, 90.00 degrees
Space group Cmm2 (No. 35)
Symmetry-distinct sites (fractional):
1 Tl 0.000 0.000 0.000 x2
2 Tl 0.000 0.500 0.271 x2
3 Sb 0.000 0.500 0.680 x2
4 W 0.000 0.000 0.492 x2

Calculated values
Final energy: -19.6 eV per formula unit
Uncorrected formation energy: 0.563 eV/atom
Polymorph energy (0 for the lowest one): 72 meV/atom

# 11
# Sr2Li3Cd12Ag

An optimized crystal structure of Sr2Li3Cd12Ag (GGA-PBE, Alexandria).

Cell lengths 9.5129, 9.5129, 20.6867 Å; angles 90.00, 90.00, 120.00 degrees
Space group R-3m (No. 166, hexagonal axes)
Symmetry-distinct sites (fractional):
1 Sr 0.0000 0.0000 0.0959 x6
2 Li 0.0000 0.5000 0.0000 x9
3 Cd 0.0039 0.5020 0.1394 x18
4 Cd 0.0881 0.5441 0.4000 x18
5 Ag 0.0000 0.0000 0.5000 x3

Calculated values
Final energy: -21.7 eV per formula unit
Formation enthalpy at 0 K: 7 kJ/mol of atoms

# 12
# DyY2Er

An optimized crystal structure of DyY2Er (GGA-PBE, Alexandria).

Cell lengths 3.539, 5.022, 7.100 Å; angles 90.00, 90.00, 90.00 degrees
Space group Pmm2 (No. 25)
Symmetry-distinct sites (fractional):
1 Dy 0.000 0.000 0.000 x1
2 Y 0.000 0.000 0.496 x1
3 Y 0.500 0.500 0.749 x1
4 Er 0.500 0.500 0.247 x1

Calculated values
Final energy: -22.0 eV per formula unit
Formation enthalpy at 0 K: 2 kJ/mol of atoms
Polymorph energy (0 for the lowest one): 20 meV/atom

# 13
# OsCSN2

An optimized crystal structure of OsCSN2 (GGA-PBE, Alexandria).

Cell lengths 3.540, 3.540, 3.714 Å; angles 90.00, 90.00, 90.00 degrees
Space group P4/mmm (No. 123)
Symmetry-distinct sites (fractional):
1 Os 0.000 0.000 0.000 x1
2 C 0.500 0.500 0.500 x1
3 S 0.500 0.500 0.000 x1
4 N 0.000 0.500 0.500 x2

Calculated values
Final energy: -29.7 eV per formula unit
Uncorrected formation energy: 2.307 eV/atom
Polymorph energy (0 for the lowest one): 454 meV/atom

# 14
# HfTiAl2

An optimized crystal structure of HfTiAl2 (GGA-PBE, Alexandria).

Cell lengths 4.120, 4.120, 4.128 Å; angles 90.00, 90.00, 90.00 degrees
Space group P4/mmm (No. 123)
Symmetry-distinct sites (fractional):
1 Hf 0.000 0.000 0.000 x1
2 Ti 0.500 0.500 0.000 x1
3 Al 0.000 0.500 0.500 x2

Calculated values
Final energy: -26.8 eV per formula unit
Formation enthalpy at 0 K: -36 kJ/mol of atoms
Polymorph energy (0 for the lowest one): 0 meV/atom

# 15
# CaLaHo4S8

An optimized crystal structure of CaLaHo4S8 (GGA-PBE, Alexandria).

Cell lengths 8.0731, 8.0731, 20.2487 Å; angles 90.00, 90.00, 120.00 degrees
Space group R3m (No. 160, hexagonal axes)
Symmetry-distinct sites (fractional):
1 Ca 0.0000 0.0000 0.0000 x3
2 La 0.0000 0.0000 0.3725 x3
3 Ho 0.0000 0.0000 0.7479 x3
4 Ho 0.0049 0.5024 0.8745 x9
5 S 0.0000 0.0000 0.1347 x3
6 S 0.0000 0.0000 0.6158 x3
7 S 0.0119 0.5060 0.1306 x9
8 S 0.1773 0.3546 0.9491 x9

Calculated values
Final energy: -86.3 eV per formula unit
Uncorrected formation energy: -2.004 eV/atom

# 16
# TbDy2O

An optimized crystal structure of TbDy2O (GGA-PBE, Alexandria).

Cell lengths 3.5162, 3.5162, 26.1148 Å; angles 90.00, 90.00, 120.00 degrees
Space group R-3m (No. 166, hexagonal axes)
Symmetry-distinct sites (fractional):
1 Tb 0.0000 0.0000 0.0000 x3
2 Dy 0.0000 0.0000 0.2192 x6
3 O 0.0000 0.0000 0.5000 x3

Calculated values
Final energy: -24.2 eV per formula unit
Uncorrected formation energy: -1.344 eV/atom
Polymorph energy (0 for the lowest one): 0 meV/atom

# 17
# BeBr3

An optimized crystal structure of BeBr3 (GGA-PBE, Alexandria).

Cell lengths 6.353, 3.093, 7.038 Å; angles 90.00, 116.75, 90.00 degrees
Space group P2/m (No. 10)
Symmetry-distinct sites (fractional):
1 Be 0.000 0.000 0.000 x1
2 Br 0.130 0.500 0.260 x2
3 Br 0.500 0.000 0.000 x1

Calculated values
Final energy: -10.4 eV per formula unit
Uncorrected formation energy: -0.405 eV/atom
Polymorph energy (0 for the lowest one): 98 meV/atom

# 18
# Rb4Ce3HoO8

An optimized crystal structure of Rb4Ce3HoO8 (GGA-PBE, Alexandria).

Cell lengths 7.2590, 7.2590, 19.7510 Å; angles 90.00, 90.00, 120.00 degrees
Space group R-3m (No. 166, hexagonal axes)
Symmetry-distinct sites (fractional):
1 Rb 0.0000 0.0000 0.0000 x3
2 Rb 0.0000 0.5000 0.0000 x9
3 Ce 0.0000 0.5000 0.5000 x9
4 Ho 0.0000 0.0000 0.5000 x3
5 O 0.0000 0.0000 0.2262 x6
6 O 0.0091 0.5046 0.2252 x18

Calculated values
Final energy: -107.1 eV per formula unit
Uncorrected formation energy: -2.573 eV/atom

# 19
# Dy3OsC3

An optimized crystal structure of Dy3OsC3 (GGA-PBE, Alexandria).

Cell lengths 8.674, 10.429, 5.107 Å; angles 90.00, 90.00, 90.00 degrees
Space group Cmcm (No. 63)
Symmetry-distinct sites (fractional):
1 Dy 0.000 0.108 0.250 x4
2 Dy 0.214 0.380 0.250 x8
3 Os 0.000 0.307 0.750 x4
4 C 0.000 0.121 0.750 x4
5 C 0.207 0.374 0.750 x8

Calculated values
Final energy: -55.2 eV per formula unit
Formation enthalpy at 0 K: -35 kJ/mol of atoms

# 20
# CrS2Cl2

An optimized crystal structure of CrS2Cl2 (GGA-PBE, Alexandria).

Cell lengths 3.586, 3.586, 17.778 Å; angles 90.00, 90.00, 90.00 degrees
Space group I4/mmm (No. 139)
Symmetry-distinct sites (fractional):
1 Cr 0.000 0.000 0.000 x2
2 S 0.000 0.000 0.441 x4
3 Cl 0.000 0.500 0.250 x4

Calculated values
Final energy: -20.6 eV per formula unit
Uncorrected formation energy: 0.200 eV/atom